Entry from Alexandria: a relaxed Mn2AlBr crystal (PBE).

a b c (Å): 4.789 4.789 4.789
angles (deg): 127.43 127.43 77.55
Last column: magnetic moment on the atom in μB.
Fractional positions:
Mn  0.000  0.000  0.000  3.35
Br  0.750  0.250  0.500  0.03
Mn  0.500  0.500  0.000  3.35
Al  0.250  0.750  0.500  -0.08

As for the symmetry: No. 139. The calculation puts the total energy at -5.388 eV/atom. The calculation puts the volume at 67 Å³/cell. The value obtained for the excess energy over the best structure of this formula in the dataset is 0.436 eV per atom. As for the raw formation energy: 551 meV/atom.